Ga2TcAs after structural relaxation. Source: the Open Quantum Materials Database, functional GGA-PBE.

Results
crystal system: cubic
total magnetic moment: 0.047 μB per atom
SG: F-43m
DFT total energy: -4.960 eV/atom

a b c (Å): 6.3569 6.3569 6.3569
angles (deg): 90.00 90.00 90.00
Atoms (fractional coordinates):
Ga (0.0000, 0.0000, 0.0000)
Ga (0.0000, 0.5000, 0.5000)
Ga (0.2500, 0.2500, 0.2500)
Ga (0.2500, 0.7500, 0.7500)
Ga (0.5000, 0.0000, 0.5000)
Ga (0.5000, 0.5000, 0.0000)
Ga (0.7500, 0.2500, 0.7500)
Ga (0.7500, 0.7500, 0.2500)
Tc (0.2500, 0.2500, 0.7500)
Tc (0.2500, 0.7500, 0.2500)
Tc (0.7500, 0.2500, 0.2500)
Tc (0.7500, 0.7500, 0.7500)
As (0.0000, 0.0000, 0.5000)
As (0.0000, 0.5000, 0.0000)
As (0.5000, 0.0000, 0.0000)
As (0.5000, 0.5000, 0.5000)



Pr3Co2C2N3 after structural relaxation. Source: the Open Quantum Materials Database, functional GGA-PBE.

Results
crystal system: tetragonal
total magnetic moment: 0.000 μB per atom
SG: I4/mmm
DFT total energy: -7.899 eV/atom

a b c (Å): 10.2961 10.2961 10.2961
angles (deg): 159.81 159.81 28.70
Atoms (fractional coordinates):
Pr (0.0000, 0.0000, 0.0000)
Pr (0.3700, 0.3700, 0.0000)
Pr (0.6300, 0.6300, 0.0000)
Co (0.2500, 0.7500, 0.5000)
Co (0.7500, 0.2500, 0.5000)
C (0.1964, 0.1964, 0.0000)
C (0.8036, 0.8036, 0.0000)
N (0.1261, 0.1261, 0.0000)
N (0.5000, 0.5000, 0.0000)
N (0.8739, 0.8739, 0.0000)



P4Ir2Au after structural relaxation. Source: the Open Quantum Materials Database, functional GGA-PBE.

Results
crystal system: tetragonal
total magnetic moment: 0.000 μB per atom
SG: P4/mmm
DFT total energy: -5.896 eV/atom

a b c (Å): 4.1094 4.1094 6.4325
angles (deg): 90.00 90.00 90.00
Atoms (fractional coordinates):
P (0.0000, 0.5000, 0.2292)
P (0.0000, 0.5000, 0.7708)
P (0.5000, 0.0000, 0.2292)
P (0.5000, 0.0000, 0.7708)
Ir (0.0000, 0.0000, 0.0000)
Ir (0.5000, 0.5000, 0.5000)
Au (0.0000, 0.0000, 0.5000)



TaCdCoSn after structural relaxation. Source: the Open Quantum Materials Database, functional GGA-PBE.

Results
crystal system: cubic
total magnetic moment: 0.005 μB per atom
SG: F-43m
DFT total energy: -5.458 eV/atom

a b c (Å): 6.5604 6.5604 6.5604
angles (deg): 90.00 90.00 90.00
Atoms (fractional coordinates):
Ta (0.0000, 0.0000, 0.0000)
Ta (0.0000, 0.5000, 0.5000)
Ta (0.5000, 0.0000, 0.5000)
Ta (0.5000, 0.5000, 0.0000)
Cd (0.2500, 0.2500, 0.2500)
Cd (0.2500, 0.7500, 0.7500)
Cd (0.7500, 0.2500, 0.7500)
Cd (0.7500, 0.7500, 0.2500)
Co (0.2500, 0.2500, 0.7500)
Co (0.2500, 0.7500, 0.2500)
Co (0.7500, 0.2500, 0.2500)
Co (0.7500, 0.7500, 0.7500)
Sn (0.0000, 0.0000, 0.5000)
Sn (0.0000, 0.5000, 0.0000)
Sn (0.5000, 0.0000, 0.0000)
Sn (0.5000, 0.5000, 0.5000)



InAgSnTe3 after structural relaxation. Source: the Open Quantum Materials Database, functional GGA-PBE.

Results
crystal system: orthorhombic
SG: Cmcm
DFT total energy: -3.298 eV/atom

a b c (Å): 7.2127 7.2127 11.7497
angles (deg): 90.00 90.00 145.49
Atoms (fractional coordinates):
In (0.0000, 0.0000, 0.0000)
In (0.0000, 0.0000, 0.5000)
Ag (0.4625, 0.5375, 0.7500)
Ag (0.5375, 0.4625, 0.2500)
Sn (0.2309, 0.7691, 0.2500)
Sn (0.7691, 0.2309, 0.7500)
Te (0.1006, 0.8994, 0.7500)
Te (0.3524, 0.6476, 0.5518)
Te (0.3524, 0.6476, 0.9482)
Te (0.6476, 0.3524, 0.0518)
Te (0.6476, 0.3524, 0.4482)
Te (0.8994, 0.1006, 0.2500)



HfTaFePb after structural relaxation. Source: the Open Quantum Materials Database, functional GGA-PBE.

Results
crystal system: cubic
total magnetic moment: 0.742 μB per atom
SG: F-43m
DFT total energy: -7.945 eV/atom

a b c (Å): 6.6746 6.6746 6.6746
angles (deg): 90.00 90.00 90.00
Atoms (fractional coordinates):
Hf (0.0000, 0.0000, 0.0000)
Hf (0.0000, 0.5000, 0.5000)
Hf (0.5000, 0.0000, 0.5000)
Hf (0.5000, 0.5000, 0.0000)
Ta (0.2500, 0.2500, 0.2500)
Ta (0.2500, 0.7500, 0.7500)
Ta (0.7500, 0.2500, 0.7500)
Ta (0.7500, 0.7500, 0.2500)
Fe (0.2500, 0.2500, 0.7500)
Fe (0.2500, 0.7500, 0.2500)
Fe (0.7500, 0.2500, 0.2500)
Fe (0.7500, 0.7500, 0.7500)
Pb (0.0000, 0.0000, 0.5000)
Pb (0.0000, 0.5000, 0.0000)
Pb (0.5000, 0.0000, 0.0000)
Pb (0.5000, 0.5000, 0.5000)



LaTbAsO after structural relaxation. Source: the Open Quantum Materials Database, functional GGA-PBE.

Results
crystal system: tetragonal
total magnetic moment: 0.150 μB per atom
SG: P4/nmm
DFT total energy: -6.781 eV/atom

a b c (Å): 4.4499 4.4499 9.2456
angles (deg): 90.00 90.00 90.00
Atoms (fractional coordinates):
La (0.2500, 0.2500, 0.1104)
La (0.7500, 0.7500, 0.8896)
Tb (0.2500, 0.7500, 0.5000)
Tb (0.7500, 0.2500, 0.5000)
As (0.2500, 0.2500, 0.6950)
As (0.7500, 0.7500, 0.3050)
O (0.2500, 0.7500, 0.0000)
O (0.7500, 0.2500, 0.0000)



PrSm2In3Ni3 after structural relaxation. Source: the Open Quantum Materials Database, functional GGA-PBE.

Results
crystal system: orthorhombic
total magnetic moment: 0.003 μB per atom
SG: Amm2
DFT total energy: -4.820 eV/atom

a b c (Å): 3.9518 7.5042 7.5042
angles (deg): 119.77 90.00 90.00
Atoms (fractional coordinates):
Pr (0.0000, 0.0000, 0.0000)
Sm (0.0000, 0.4147, 0.8284)
Sm (0.0000, 0.8284, 0.4147)
In (0.5000, 0.1675, 0.4170)
In (0.5000, 0.4170, 0.1675)
In (0.5000, 0.6603, 0.6603)
Ni (0.0000, 0.4157, 0.4157)
Ni (0.5000, 0.0819, 0.7468)
Ni (0.5000, 0.7468, 0.0819)



V readings, ordered: 16.06, 12.99, 15.52, 17.65, 28.86, 18.58, 22.88, 21.46 Å³ per atom